# 1
Computed, not measured: crystalline BaBeCr2 at its relaxed geometry at the GGA-PBE level of DFT.

Properties
DFT formation energy ... 1.026 eV per atom
Total energy ... -5.20 eV/atom
Symmetry ... Immm (71)

a b c (Å): 5.9113 5.9113 5.9113
angles (deg): 147.87 123.44 66.55
Element x y z (fractional)
Ba 0.0000 0.0000 0.0000
Be 0.5000 0.5000 0.0000
Cr 0.3143 0.8143 0.5000
Cr 0.6857 0.1857 0.5000

# 2
Computed, not measured: crystalline Ba4BeCr at its relaxed geometry at the GGA-PBE level of DFT.

Properties
DFT formation energy ... 1.133 eV per atom
Total energy ... -2.37 eV/atom
Symmetry ... F-43m (216)

a b c (Å): 7.1998 7.1998 7.1998
angles (deg): 60.00 60.00 60.00
Element x y z (fractional)
Ba 0.1246 0.1246 0.1246
Ba 0.1246 0.1246 0.6261
Ba 0.1246 0.6261 0.1246
Ba 0.6261 0.1246 0.1246
Be 0.7500 0.7500 0.7500
Cr 0.5000 0.5000 0.5000

# 3
Computed, not measured: crystalline BaBeCr2 at its relaxed geometry at the GGA-PBE level of DFT.

Properties
DFT formation energy ... 0.622 eV per atom
Total energy ... -5.60 eV/atom
Symmetry ... P4mm (99)

a b c (Å): 3.1229 3.1229 7.6932
angles (deg): 90.00 90.00 90.00
Element x y z (fractional)
Ba 0.0000 0.0000 0.0000
Be 0.5000 0.5000 0.3265
Cr 0.0000 0.0000 0.4777
Cr 0.5000 0.5000 0.6320

# 4
Computed, not measured: crystalline BaBeCr2 at its relaxed geometry at the GGA-PBE level of DFT.

Properties
DFT formation energy ... 1.182 eV per atom
Total energy ... -5.04 eV/atom
Symmetry ... Pmmm (47)

a b c (Å): 3.3407 4.9923 5.1392
angles (deg): 90.00 90.00 90.00
Element x y z (fractional)
Ba 0.0000 0.0000 0.0000
Be 0.5000 0.5000 0.0000
Cr 0.0000 0.5000 0.5000
Cr 0.5000 0.0000 0.5000

# 5
Computed, not measured: crystalline Ba2BeCr at its relaxed geometry at the GGA-PBE level of DFT.

Properties
DFT formation energy ... 0.491 eV per atom
Total energy ... -3.81 eV/atom
Symmetry ... Cm (8)

a b c (Å): 4.3692 4.3692 9.1211
angles (deg): 103.76 103.76 59.99
Element x y z (fractional)
Ba 0.0000 0.0000 0.0000
Ba 0.1731 0.1731 0.5241
Be 0.4195 0.4195 0.2615
Cr 0.7530 0.7530 0.2621

# 6
Computed, not measured: crystalline BaBeCr2 at its relaxed geometry at the GGA-PBE level of DFT.

Properties
DFT formation energy ... 1.206 eV per atom
Total energy ... -5.02 eV/atom
Symmetry ... I-42d (122)

a b c (Å): 9.3999 9.3999 9.3999
angles (deg): 153.15 153.15 38.34
Element x y z (fractional)
Ba 0.0000 0.0000 0.0000
Ba 0.7500 0.2500 0.5000
Be 0.2500 0.7500 0.5000
Be 0.5000 0.5000 0.0000
Cr 0.3565 0.6250 0.2315
Cr 0.3750 0.6065 0.7315
Cr 0.3935 0.1250 0.7685
Cr 0.8750 0.6435 0.2685

Values for M_tot, μB per formula unit, ordered as above
8.19, 3.42, 1.03, 0.15, 3.78, 0.89